A geometry-optimized BaMnCo2F structure. Source: Alexandria, functional PBE+U.

Results
- Raw total energy: -19.119 eV/cell
- Total moment: 1.0 Bohr magnetons per cell

Cell lengths 5.8963, 4.7373, 5.8963 Å; angles 90.00, 90.00, 90.00 degrees
With the nearest neighbours (Å) after each atom.
Fractional coordinates of all 5 atoms:
Mn 0.5000 0.5000 0.5000  8 Co 3.78, 4 F 4.17
Co 0.0000 0.0000 0.5000  2 Ba 2.95
Co 0.5000 0.0000 0.0000  2 Ba 2.95
Ba 0.0000 0.0000 0.0000  2 F 2.37
F 0.0000 0.5000 0.0000  2 Ba 2.37